DFT (GGA-PBE) results for a geometry-optimized Ba2TlCd7 structure.

Summary:
* energy of formation from the pure elements: -0.27 eV/atom
* density of states at the Fermi level: 5.62 states/eV per cell
* size of the total moment: 0.0 μB per cell
* VASP energy: -1.5274 eV/atom

Cell: 4.8090 4.8090 12.8782 Å, 90.00 90.00 90.00°
Space group P-4m2 (No. 115)
One atom of each set of equivalent atoms:
Ba 0.0000 0.5000 0.2494 [2 per cell]
Tl 0.0000 0.0000 0.5000 [1 per cell]
Cd 0.0000 0.0000 0.0000 [1 per cell]
Cd 0.0000 0.5000 0.6398 [2 per cell]
Cd 0.0000 0.5000 0.8647 [2 per cell]
Cd 0.5000 0.5000 0.0000 [1 per cell]
Cd 0.5000 0.5000 0.5000 [1 per cell]